Material: RbTbO3
Method: DFT, GGA-PBE
State: optimized geometry

Results
Calculated volume   18.423 Å³/atom
Space-group type   No. 62
Total magnetization   0.00 Bohr magnetons per cell
Calculated total energy   -119.3 eV for the cell shown

Unit cell a=6.215 b=6.263 c=9.466 alpha=90.00 beta=90.00 gamma=90.00
Element x y z (fractional)
O 0.247 0.247 0.830
O 0.247 0.247 0.670
O 0.746 0.241 0.750
O 0.253 0.747 0.830
O 0.747 0.253 0.170
O 0.254 0.759 0.250
O 0.754 0.741 0.750
O 0.253 0.747 0.670
O 0.753 0.753 0.330
O 0.747 0.253 0.330
O 0.753 0.753 0.170
O 0.246 0.259 0.250
Rb 0.000 0.500 0.500
Rb 0.000 0.500 0.000
Rb 0.500 0.000 0.500
Rb 0.500 0.000 0.000
Tb 0.490 0.505 0.250
Tb 0.010 0.005 0.250
Tb 0.510 0.495 0.750
Tb 0.990 0.995 0.750

---

Material: RbTbO2
Method: DFT, GGA-PBE
State: optimized geometry

Results
Calculated volume   20.658 Å³/atom
Space-group type   No. 57
Total magnetization   0.00 Bohr magnetons per cell
Calculated total energy   -102.8 eV for the cell shown

Unit cell a=7.177 b=7.125 c=6.464 alpha=90.00 beta=90.00 gamma=90.00
Element x y z (fractional)
O 0.319 0.750 0.500
O 0.319 0.750 0.000
O 0.082 0.137 0.750
O 0.918 0.637 0.750
O 0.681 0.250 0.000
O 0.082 0.363 0.250
O 0.681 0.250 0.500
O 0.918 0.863 0.250
Rb 0.369 0.103 0.250
Rb 0.631 0.603 0.250
Rb 0.369 0.397 0.750
Rb 0.631 0.897 0.750
Tb 0.140 0.839 0.750
Tb 0.860 0.339 0.750
Tb 0.140 0.661 0.250
Tb 0.860 0.161 0.250

---

Material: RbTbO3
Method: DFT, GGA-PBE
State: optimized geometry

Results
Calculated volume   19.831 Å³/atom
Space-group type   No. 148
Total magnetization   4.00 Bohr magnetons per cell
Calculated total energy   -59.4 eV for the cell shown

Unit cell a=6.549 b=6.549 c=6.542 alpha=59.97 beta=59.97 gamma=60.00
Element x y z (fractional)
Tb 0.848 0.848 0.456
Tb 0.152 0.152 0.544
Rb 0.378 0.378 0.866
Rb 0.622 0.622 0.134
O 0.552 0.095 0.283
O 0.071 0.552 0.283
O 0.905 0.929 0.717
O 0.448 0.905 0.717
O 0.095 0.071 0.283
O 0.929 0.448 0.717

---

Please write out number 3 again, unchanged.
Material: RbTbO3
Method: DFT, GGA-PBE
State: optimized geometry

Results
Calculated volume   19.831 Å³/atom
Space-group type   No. 148
Total magnetization   4.00 Bohr magnetons per cell
Calculated total energy   -59.4 eV for the cell shown

Unit cell a=6.549 b=6.549 c=6.542 alpha=59.97 beta=59.97 gamma=60.00
Element x y z (fractional)
Tb 0.848 0.848 0.456
Tb 0.152 0.152 0.544
Rb 0.378 0.378 0.866
Rb 0.622 0.622 0.134
O 0.552 0.095 0.283
O 0.071 0.552 0.283
O 0.905 0.929 0.717
O 0.448 0.905 0.717
O 0.095 0.071 0.283
O 0.929 0.448 0.717

---

- The lowest calculated total energy belongs to which entry?
  number 1

---

- Which value of calculated volume does entry 2 give?
  20.658 Å³/atom